No. 1
Here is crystalline MnHg2Te at its relaxed geometry from the Alexandria database. Energies are from PBE-GGA.

Results
Crystal system = tetragonal
Calculated total energy = -3.07 eV per atom
Uncorrected formation energy = 0.16 eV/atom

Cell: 3.409 3.409 8.883 Å, 90.00 90.00 90.00°
Fractional coordinates of all 4 atoms:
Mn  0.000  0.000  0.000
Hg  0.000  0.000  0.496
Hg  0.500  0.500  0.780
Te  0.500  0.500  0.163

No. 2
Here is crystalline CsCaBi3 at its relaxed geometry from the Alexandria database. Energies are from PBE-GGA.

Results
Crystal system = cubic
Calculated total energy = -2.02 eV per atom
E above lowest polymorph = 879 meV per atom

Cell: 6.226 6.226 6.226 Å, 90.00 90.00 90.00°
Fractional coordinates of all 5 atoms:
Cs  0.000  0.000  0.000
Ca  0.500  0.500  0.500
Bi  0.000  0.000  0.500
Bi  0.000  0.500  0.000
Bi  0.500  0.000  0.000

No. 3
Here is crystalline Be2AgSnS at its relaxed geometry from the Alexandria database. Energies are from PBE-GGA.

Results
Crystal system = tetragonal
Calculated total energy = -3.13 eV per atom
Uncorrected formation energy = 0.56 eV/atom

Cell: 4.100 4.100 5.620 Å, 90.00 90.00 90.00°
Fractional coordinates of all 5 atoms:
Be  0.000  0.500  0.000
Be  0.500  0.000  0.000
Ag  0.000  0.000  0.500
Sn  0.500  0.500  0.500
S  0.500  0.500  0.000

No. 4
Here is crystalline LiAcCeIn at its relaxed geometry from the Alexandria database. Energies are from PBE-GGA.

Results
Crystal system = cubic
Calculated total energy = -3.63 eV per atom

Cell: 5.478 5.478 5.478 Å, 60.00 60.00 60.00°
Fractional coordinates of all 4 atoms:
Li  0.000  0.000  0.000
Ac  0.250  0.250  0.250
Ce  0.500  0.500  0.500
In  0.750  0.750  0.750

No. 5
Here is crystalline TaTl2Os at its relaxed geometry from the Alexandria database. Energies are from PBE-GGA.

Results
Crystal system = tetragonal
Calculated total energy = -6.64 eV per atom
E above lowest polymorph = 15 meV per atom

Cell: 3.181 3.181 8.881 Å, 90.00 90.00 90.00°
Fractional coordinates of all 4 atoms:
Ta  0.000  0.000  0.000
Tl  0.000  0.000  0.592
Tl  0.500  0.500  0.264
Os  0.500  0.500  0.852

No. 6
Here is crystalline Ho3Ge2Rh at its relaxed geometry from the Alexandria database. Energies are from PBE-GGA.

Results
Crystal system = orthorhombic
Calculated total energy = -5.95 eV per atom

Cell: 11.662 4.201 11.162 Å, 90.00 90.00 90.00°
Fractional coordinates of all 24 atoms:
Ho  0.052  0.250  0.129
Ho  0.122  0.750  0.554
Ho  0.226  0.250  0.798
Ho  0.274  0.750  0.298
Ho  0.378  0.250  0.054
Ho  0.448  0.750  0.629
Ho  0.552  0.250  0.371
Ho  0.622  0.750  0.946
Ho  0.726  0.250  0.702
Ho  0.774  0.750  0.202
Ho  0.878  0.250  0.446
Ho  0.948  0.750  0.871
Ge  0.006  0.750  0.311
Ge  0.187  0.750  0.004
Ge  0.313  0.250  0.504
Ge  0.494  0.250  0.811
Ge  0.506  0.750  0.189
Ge  0.687  0.750  0.496
Ge  0.813  0.250  0.996
Ge  0.994  0.250  0.689
Rh  0.131  0.250  0.371
Rh  0.369  0.750  0.871
Rh  0.631  0.250  0.129
Rh  0.869  0.750  0.629

No. 7
Here is crystalline Rb3Li2ZnF9 at its relaxed geometry from the Alexandria database. Energies are from PBE-GGA.

Results
Crystal system = trigonal
Calculated total energy = -4.03 eV per atom
Uncorrected formation energy = -2.37 eV/atom

Cell: 5.904 5.904 7.289 Å, 90.00 90.00 120.00°
Fractional coordinates of all 15 atoms:
Rb  0.000  0.000  0.000
Rb  0.333  0.667  0.671
Rb  0.667  0.333  0.329
Li  0.333  0.667  0.144
Li  0.667  0.333  0.856
Zn  0.000  0.000  0.500
F  0.000  0.500  0.000
F  0.158  0.316  0.343
F  0.158  0.842  0.343
F  0.316  0.158  0.657
F  0.500  0.000  0.000
F  0.500  0.500  0.000
F  0.684  0.842  0.343
F  0.842  0.158  0.657
F  0.842  0.684  0.657

No. 8
Here is crystalline Li6In5Ge at its relaxed geometry from the Alexandria database. Energies are from PBE-GGA.

Results
Crystal system = monoclinic
Calculated total energy = -2.73 eV per atom

Cell: 8.070 8.070 4.303 Å, 105.28 105.28 109.64°
Fractional coordinates of all 12 atoms:
Li  0.081  0.405  0.743
Li  0.238  0.238  0.238
Li  0.405  0.081  0.743
Li  0.595  0.919  0.257
Li  0.762  0.762  0.762
Li  0.919  0.595  0.257
In  0.163  0.837  0.000
In  0.334  0.666  0.500
In  0.500  0.500  0.000
In  0.666  0.334  0.500
In  0.837  0.163  0.000
Ge  0.000  0.000  0.500

No. 9
Here is crystalline InAg2Se at its relaxed geometry from the Alexandria database. Energies are from PBE-GGA.

Results
Crystal system = cubic
Calculated total energy = -2.85 eV per atom
Uncorrected formation energy = 0.13 eV/atom

Cell: 4.981 4.981 4.981 Å, 60.00 60.00 60.00°
Fractional coordinates of all 4 atoms:
In  0.000  0.000  0.000
Ag  0.500  0.500  0.500
Ag  0.750  0.750  0.750
Se  0.250  0.250  0.250

No. 10
Here is crystalline Sm2Tm3Th at its relaxed geometry from the Alexandria database. Energies are from PBE-GGA.

Results
Crystal system = monoclinic
Calculated total energy = -5.01 eV per atom
E above lowest polymorph = 0 meV per atom

Cell: 6.160 6.160 14.211 Å, 106.79 106.79 48.13°
Fractional coordinates of all 12 atoms:
Sm  0.002  0.002  0.128
Sm  0.002  0.002  0.373
Sm  0.998  0.998  0.627
Sm  0.998  0.998  0.872
Tm  0.330  0.330  0.457
Tm  0.332  0.332  0.209
Tm  0.333  0.333  0.957
Tm  0.667  0.667  0.043
Tm  0.668  0.668  0.791
Tm  0.670  0.670  0.543
Th  0.332  0.332  0.709
Th  0.668  0.668  0.291

No. 11
Here is crystalline Dy3ScPb3 at its relaxed geometry from the Alexandria database. Energies are from PBE-GGA.

Results
Crystal system = monoclinic
Calculated total energy = -4.70 eV per atom

Cell: 7.709 7.709 7.909 Å, 90.75 90.75 113.53°
Fractional coordinates of all 14 atoms:
Dy  0.155  0.845  0.000
Dy  0.225  0.775  0.500
Dy  0.374  0.374  0.147
Dy  0.626  0.626  0.853
Dy  0.775  0.225  0.500
Dy  0.845  0.155  0.000
Sc  0.295  0.295  0.581
Sc  0.705  0.705  0.419
Pb  0.051  0.051  0.302
Pb  0.154  0.502  0.804
Pb  0.498  0.846  0.196
Pb  0.502  0.154  0.804
Pb  0.846  0.498  0.196
Pb  0.949  0.949  0.698

No. 12
Here is crystalline Tb5Sm4Er at its relaxed geometry from the Alexandria database. Energies are from PBE-GGA.

Results
Crystal system = tetragonal
Calculated total energy = -4.41 eV per atom
E above lowest polymorph = 64 meV per atom

Cell: 8.084 8.084 8.084 Å, 97.83 97.83 136.67°
Fractional coordinates of all 10 atoms:
Tb  0.000  0.000  0.000
Tb  0.076  0.076  0.623
Tb  0.076  0.454  0.000
Tb  0.454  0.076  0.000
Tb  0.454  0.454  0.377
Sm  0.081  0.758  0.323
Sm  0.434  0.758  0.677
Sm  0.758  0.081  0.323
Sm  0.758  0.434  0.677
Er  0.527  0.527  0.000

No. 13
Here is crystalline SrBiSeBr2 at its relaxed geometry from the Alexandria database. Energies are from PBE-GGA.

Results
Crystal system = tetragonal
Calculated total energy = -3.04 eV per atom
Uncorrected formation energy = -0.57 eV/atom
E above lowest polymorph = 170 meV per atom

Cell: 5.670 5.670 6.155 Å, 90.00 90.00 90.00°
Fractional coordinates of all 5 atoms:
Sr  0.000  0.000  0.000
Bi  0.500  0.500  0.500
Se  0.000  0.000  0.500
Br  0.000  0.500  0.000
Br  0.500  0.000  0.000

No. 14
Here is crystalline Tc2Ge2Ru at its relaxed geometry from the Alexandria database. Energies are from PBE-GGA.

Results
Crystal system = tetragonal
Calculated total energy = -7.71 eV per atom

Cell: 6.979 6.979 3.034 Å, 90.00 90.00 90.00°
Fractional coordinates of all 10 atoms:
Tc  0.151  0.349  0.000
Tc  0.349  0.849  0.000
Tc  0.651  0.151  0.000
Tc  0.849  0.651  0.000
Ge  0.149  0.649  0.500
Ge  0.351  0.149  0.500
Ge  0.649  0.851  0.500
Ge  0.851  0.351  0.500
Ru  0.000  0.000  0.500
Ru  0.500  0.500  0.500

No. 15
Here is crystalline MoIrIN2 at its relaxed geometry from the Alexandria database. Energies are from PBE-GGA.

Results
Crystal system = tetragonal
Calculated total energy = -6.16 eV per atom
Uncorrected formation energy = 1.42 eV/atom
E above lowest polymorph = 256 meV per atom

Cell: 3.830 3.830 7.803 Å, 90.00 90.00 90.00°
Fractional coordinates of all 5 atoms:
Mo  0.000  0.000  0.000
Ir  0.500  0.500  0.500
I  0.500  0.500  0.000
N  0.000  0.500  0.500
N  0.500  0.000  0.500

No. 16
Here is crystalline TbTm2Mg3 at its relaxed geometry from the Alexandria database. Energies are from PBE-GGA.

Results
Crystal system = tetragonal
Calculated total energy = -3.13 eV per atom

Cell: 3.771 3.771 11.292 Å, 90.00 90.00 90.00°
Fractional coordinates of all 6 atoms:
Tb  0.000  0.000  0.000
Tm  0.000  0.000  0.335
Tm  0.000  0.000  0.665
Mg  0.500  0.500  0.170
Mg  0.500  0.500  0.500
Mg  0.500  0.500  0.830

No. 17
Here is crystalline Cs2SbWCl6 at its relaxed geometry from the Alexandria database. Energies are from PBE-GGA.

Results
Crystal system = tetragonal
Calculated total energy = -3.96 eV per atom
Uncorrected formation energy = -0.97 eV/atom

Cell: 8.148 8.148 8.148 Å, 126.02 126.02 79.86°
Fractional coordinates of all 10 atoms:
Cs  0.250  0.750  0.500
Cs  0.750  0.250  0.500
Sb  0.000  0.000  0.000
W  0.500  0.500  0.000
Cl  0.265  0.265  0.529
Cl  0.265  0.735  0.000
Cl  0.304  0.304  0.000
Cl  0.696  0.696  0.000
Cl  0.735  0.265  0.000
Cl  0.735  0.735  0.471

No. 18
Here is crystalline Pm4TlCu at its relaxed geometry from the Alexandria database. Energies are from PBE-GGA.

Results
Crystal system = monoclinic
Calculated total energy = -4.39 eV per atom
E above lowest polymorph = 0 meV per atom

Cell: 5.490 7.240 8.856 Å, 90.00 99.58 90.00°
Fractional coordinates of all 12 atoms:
Pm  0.141  0.250  0.044
Pm  0.205  0.750  0.371
Pm  0.330  0.519  0.740
Pm  0.330  0.981  0.740
Pm  0.670  0.019  0.260
Pm  0.670  0.481  0.260
Pm  0.795  0.250  0.629
Pm  0.859  0.750  0.956
Tl  0.227  0.250  0.416
Tl  0.773  0.750  0.584
Cu  0.369  0.750  0.051
Cu  0.631  0.250  0.949

No. 19
Here is crystalline CaInTe2 at its relaxed geometry from the Alexandria database. Energies are from PBE-GGA.

Results
Crystal system = monoclinic
Calculated total energy = -3.48 eV per atom
Uncorrected formation energy = -0.72 eV/atom

Cell: 5.456 5.456 3.947 Å, 90.13 90.13 89.44°
Fractional coordinates of all 4 atoms:
Ca  0.000  0.000  0.000
In  0.500  0.500  0.000
Te  0.000  0.500  0.500
Te  0.500  0.000  0.500

No. 20
Here is crystalline PmY2Ru at its relaxed geometry from the Alexandria database. Energies are from PBE-GGA.

Results
Crystal system = orthorhombic
Calculated total energy = -7.01 eV per atom
E above lowest polymorph = 0 meV per atom

Cell: 7.341 9.310 6.439 Å, 90.00 90.00 90.00°
Fractional coordinates of all 16 atoms:
Pm  0.043  0.250  0.134
Pm  0.457  0.750  0.634
Pm  0.543  0.250  0.366
Pm  0.957  0.750  0.866
Y  0.176  0.066  0.669
Y  0.176  0.434  0.669
Y  0.324  0.566  0.169
Y  0.324  0.934  0.169
Y  0.676  0.066  0.831
Y  0.676  0.434  0.831
Y  0.824  0.566  0.331
Y  0.824  0.934  0.331
Ru  0.115  0.750  0.458
Ru  0.385  0.250  0.958
Ru  0.615  0.750  0.042
Ru  0.885  0.250  0.542